Entry 1:
Density functional theory data (PBE) for AlPbSe2 after structural relaxation.

abc: 3.5336 3.5336 7.2479
angles: 90.00 90.00 90.00
Element x y z (fractional)
Al: 0.0000 0.0000 0.0000
Pb: 0.0000 0.0000 0.5000
Se: 0.5000 0.5000 0.2188
Se: 0.5000 0.5000 0.7812

Computed properties:
DFT total energy, eV/atom: -3.748
Total magnetization, Bohr magnetons per cell: 0.00

Entry 2:
Density functional theory data (PBE) for KBr5 after structural relaxation.

abc: 5.1987 5.1987 8.7193
angles: 90.00 90.00 90.00
Element x y z (fractional)
K: 0.0000 0.0000 0.0000
Br: 0.0000 0.0000 0.3695
Br: 0.0000 0.0000 0.6305
Br: 0.5000 0.5000 0.1992
Br: 0.5000 0.5000 0.5000
Br: 0.5000 0.5000 0.8008

Computed properties:
Offset from the most stable computed form, eV/atom: 0.000
DFT total energy, eV/atom: -1.946
Total magnetization, Bohr magnetons per cell: 0.00

Entry 3:
Density functional theory data (PBE) for La8Pr6Ho after structural relaxation.

abc: 8.4812 8.4812 8.4812
angles: 73.28 73.28 73.28
Element x y z (fractional)
La: 0.0857 0.0857 0.0857
La: 0.1476 0.2752 0.5681
La: 0.2752 0.5681 0.1476
La: 0.4319 0.8524 0.7248
La: 0.5681 0.1476 0.2752
La: 0.7248 0.4319 0.8524
La: 0.8524 0.7248 0.4319
La: 0.9143 0.9143 0.9143
Pr: 0.1106 0.5830 0.7827
Pr: 0.2173 0.8894 0.4170
Pr: 0.4170 0.2173 0.8894
Pr: 0.5830 0.7827 0.1106
Pr: 0.7827 0.1106 0.5830
Pr: 0.8894 0.4170 0.2173
Ho: 0.5000 0.5000 0.5000

Computed properties:
ΔE_f, eV per atom: 0.1246
DFT total energy, eV/atom: -4.720
Total magnetization, Bohr magnetons per cell: 0.00

Entry 4:
Density functional theory data (PBE) for CaScOs2 after structural relaxation.

abc: 5.7547 5.7547 5.7547
angles: 148.73 130.88 59.39
Element x y z (fractional)
Ca: 0.0000 0.0000 0.0000
Sc: 0.7173 0.2173 0.5000
Os: 0.2638 0.7638 0.5000
Os: 0.4726 0.4726 0.0000

Computed properties:
ΔE_f, eV per atom: 0.1609
Offset from the most stable computed form, eV/atom: 0.045
DFT total energy, eV/atom: -7.537
Total magnetization, Bohr magnetons per cell: 0.00

Entry 5:
Density functional theory data (PBE) for RbCuBr2F after structural relaxation.

abc: 7.2404 4.6725 8.6854
angles: 90.00 106.54 90.00
Element x y z (fractional)
Rb: 0.0594 0.2500 0.3070
Rb: 0.9406 0.7500 0.6930
Cu: 0.4156 0.2500 0.7442
Cu: 0.5844 0.7500 0.2558
Br: 0.2716 0.7500 0.0864
Br: 0.4276 0.7500 0.6393
Br: 0.5724 0.2500 0.3607
Br: 0.7284 0.2500 0.9136
F: 0.1457 0.2500 0.6575
F: 0.8543 0.7500 0.3425

Computed properties:
Offset from the most stable computed form, eV/atom: 0.000
DFT total energy, eV/atom: -3.315
Total magnetization, Bohr magnetons per cell: 1.70

Entry 6:
Density functional theory data (PBE) for Sm2Pd7 after structural relaxation.

abc: 13.9059 13.9059 13.9059
angles: 22.30 22.30 22.30
Element x y z (fractional)
Sm: 0.0487 0.0487 0.0487
Sm: 0.1465 0.1465 0.1465
Sm: 0.8535 0.8535 0.8535
Sm: 0.9513 0.9513 0.9513
Pd: 0.0000 0.5000 0.5000
Pd: 0.1094 0.6138 0.6138
Pd: 0.2771 0.2771 0.2771
Pd: 0.3862 0.3862 0.8906
Pd: 0.3862 0.8906 0.3862
Pd: 0.3895 0.3895 0.3895
Pd: 0.5000 0.0000 0.5000
Pd: 0.5000 0.5000 0.0000
Pd: 0.5000 0.5000 0.5000
Pd: 0.6105 0.6105 0.6105
Pd: 0.6138 0.1094 0.6138
Pd: 0.6138 0.6138 0.1094
Pd: 0.7229 0.7229 0.7229
Pd: 0.8906 0.3862 0.3862

Computed properties:
ΔE_f, eV per atom: -0.6434
DFT total energy, eV/atom: -5.731
Total magnetization, Bohr magnetons per cell: 0.00